# 1
VASP calculation (GGA-PBE) on a relaxed Er2Ge3Pt5 crystal.

The space group is Ibam (No. 72) and the conventional cell measures 11.3404, 11.4297 and 5.6754 Å, with angles of 90.00, 90.00 and 90.00 degrees. The asymmetric unit holds Er at (0.1350, 0.2262, 0.0000), Ge at (0.0000, 0.5000, 0.2500), Ge at (0.1358, 0.1243, 0.5000), Pt at (0.0000, 0.0000, 0.2500), Pt at (0.0993, 0.3315, 0.5000) and Pt at (0.2345, 0.5000, 0.2500).

As for the crystal system: orthorhombic. The formation energy comes out at -8.73 eV/f.u.

***

# 2
VASP calculation (GGA-PBE) on a relaxed SrTcSb2 crystal.

The space group is F-43m (No. 216) and the conventional cell measures 7.2928, 7.2928 and 7.2928 Å, with angles of 90.00, 90.00 and 90.00 degrees. The asymmetric unit holds Sr at (0.0000, 0.0000, 0.0000), Tc at (0.2500, 0.2500, 0.7500), Sb at (0.0000, 0.0000, 0.5000) and Sb at (0.2500, 0.2500, 0.2500).

As for the energy relative to the elements, uncorrected: 42.13 kJ/mol of atoms. As for the crystal system: cubic.

***

# 3
VASP calculation (GGA-PBE) on a relaxed Sm4ErTmS8 crystal.

The space group is R3m (No. 160, hexagonal axes) and the conventional cell measures 8.1494, 8.1494 and 19.9202 Å, with angles of 90.00, 90.00 and 120.00 degrees. The asymmetric unit holds Sm at (0.0000, 0.0000, 0.0000), Sm at (0.1681, 0.3361, 0.2089), Er at (0.0000, 0.0000, 0.3766), Tm at (0.0000, 0.0000, 0.7513), S at (0.0000, 0.0000, 0.1329), S at (0.0000, 0.0000, 0.6228), S at (0.0164, 0.5082, 0.1243) and S at (0.1805, 0.3609, 0.9591).

As for the energy relative to the elements, uncorrected: -185.00 kJ/mol of atoms. As for the crystal system: trigonal.

***

# 4
VASP calculation (GGA-PBE) on a relaxed Li2SiS crystal.

The space group is R3m (No. 160, hexagonal axes) and the conventional cell measures 3.9181, 3.9181 and 29.0585 Å, with angles of 90.00, 90.00 and 120.00 degrees. The asymmetric unit holds Li at (0.0000, 0.0000, 0.0000), Li at (0.0000, 0.0000, 0.1076), Li at (0.0000, 0.0000, 0.2633), Li at (0.0000, 0.0000, 0.7315), Si at (0.0000, 0.0000, 0.5337), Si at (0.0000, 0.0000, 0.8374), S at (0.0000, 0.0000, 0.3846) and S at (0.0000, 0.0000, 0.6121).

As for the energy relative to the elements, uncorrected: -75.92 kJ/mol of atoms. As for the crystal system: trigonal.

***

# 5
VASP calculation (GGA-PBE) on a relaxed BeFeCo2 crystal.

The space group is I-42d (No. 122) and the conventional cell measures 3.3345, 3.3345 and 16.0868 Å, with angles of 90.00, 90.00 and 90.00 degrees. The asymmetric unit holds Be at (0.0000, 0.0000, 0.0000), Fe at (0.0000, 0.0000, 0.5000) and Co at (0.2215, 0.2500, 0.1250).

As for the crystal system: tetragonal. The formation energy comes out at 1.43 eV/f.u.

***

# 6
VASP calculation (GGA-PBE) on a relaxed Ga3WS crystal.

The space group is Pm-3m (No. 221) and the conventional cell measures 4.9972, 4.9972 and 4.9972 Å, with angles of 90.00, 90.00 and 90.00 degrees. The asymmetric unit holds Ga at (0.0000, 0.0000, 0.5000), W at (0.0000, 0.0000, 0.0000) and S at (0.5000, 0.5000, 0.5000).

As for the energy relative to the elements, uncorrected: 81.08 kJ/mol of atoms. As for the crystal system: cubic.

***

# 7
VASP calculation (GGA-PBE) on a relaxed LaPr3Se6 crystal.

The space group is P2_1/m (No. 11) and the conventional cell measures 11.9770, 4.3104 and 12.3023 Å, with angles of 90.00, 108.52 and 90.00 degrees. The asymmetric unit holds La at (0.0452, 0.2500, 0.1901), Pr at (0.1596, 0.2500, 0.5839), Pr at (0.3185, 0.7500, 0.9977), Pr at (0.4333, 0.2500, 0.3316), Se at (0.0842, 0.7500, 0.4008), Se at (0.1131, 0.2500, 0.9629), Se at (0.1901, 0.7500, 0.7499), Se at (0.2545, 0.7500, 0.2237), Se at (0.3982, 0.2500, 0.5631) and Se at (0.4807, 0.2500, 0.1135).

As for the energy relative to the elements, uncorrected: -184.61 kJ/mol of atoms. As for the crystal system: monoclinic.

***

# 8
VASP calculation (GGA-PBE) on a relaxed LiNpGa4Pt2 crystal.

The space group is R-3m (No. 166, hexagonal axes) and the conventional cell measures 4.3067, 4.3067 and 25.4491 Å, with angles of 90.00, 90.00 and 120.00 degrees. The asymmetric unit holds Li at (0.0000, 0.0000, 0.0000), Np at (0.0000, 0.0000, 0.5000), Ga at (0.0000, 0.0000, 0.1031), Ga at (0.0000, 0.0000, 0.3702) and Pt at (0.0000, 0.0000, 0.2645).

As for the crystal system: trigonal. The formation energy comes out at -4.04 eV/f.u.

***

# 9
VASP calculation (GGA-PBE) on a relaxed Np2GaSi2Ru5 crystal.

The space group is P4/mbm (No. 127) and the conventional cell measures 10.0378, 10.0378 and 3.1729 Å, with angles of 90.00, 90.00 and 90.00 degrees. The asymmetric unit holds Np at (0.1742, 0.3258, 0.0000), Ga at (0.0000, 0.0000, 0.0000), Si at (0.1283, 0.6283, 0.0000), Ru at (0.0000, 0.5000, 0.5000) and Ru at (0.0606, 0.7933, 0.5000).

As for the energy relative to the elements, uncorrected: -36.73 kJ/mol of atoms. As for the crystal system: tetragonal.

***

# 10
VASP calculation (GGA-PBE) on a relaxed MgSe4 crystal.

The space group is P-3m1 (No. 164) and the conventional cell measures 4.0649, 4.0649 and 9.3455 Å, with angles of 90.00, 90.00 and 120.00 degrees. The asymmetric unit holds Mg at (0.0000, 0.0000, 0.0000), Se at (0.3333, 0.6667, 0.1475) and Se at (0.3333, 0.6667, 0.4039).

As for the energy relative to the elements, uncorrected: -30.22 kJ/mol of atoms. As for the crystal system: trigonal.

***

# 11
VASP calculation (GGA-PBE) on a relaxed K2CaMo crystal.

The space group is R-3m (No. 166, hexagonal axes) and the conventional cell measures 3.7338, 3.7338 and 40.1031 Å, with angles of 90.00, 90.00 and 120.00 degrees. The asymmetric unit holds K at (0.0000, 0.0000, 0.2401), Ca at (0.0000, 0.0000, 0.0000) and Mo at (0.0000, 0.0000, 0.5000).

As for the crystal system: trigonal. The formation energy comes out at 4.87 eV/f.u.

***

# 12
VASP calculation (GGA-PBE) on a relaxed DyHoThZn crystal.

The space group is P4mm (No. 99) and the conventional cell measures 3.5565, 3.5565 and 8.5349 Å, with angles of 90.00, 90.00 and 90.00 degrees. The asymmetric unit holds Dy at (0.0000, 0.0000, 0.0000), Ho at (0.0000, 0.0000, 0.5787), Th at (0.5000, 0.5000, 0.2900) and Zn at (0.5000, 0.5000, 0.7879).

As for the crystal system: tetragonal. The formation energy comes out at -0.66 eV/f.u.

***

# 13
VASP calculation (GGA-PBE) on a relaxed Ba2Li2Pd3 crystal.

The space group is Cmcm (No. 63) and the conventional cell measures 4.4852, 20.0151 and 7.7772 Å, with angles of 90.00, 90.00 and 90.00 degrees. The asymmetric unit holds Ba at (0.0000, 0.0549, 0.2500), Ba at (0.0000, 0.1537, 0.7500), Li at (0.0000, 0.3087, 0.5622), Pd at (0.0000, 0.2236, 0.2500) and Pd at (0.0000, 0.4391, 0.0741).

As for the crystal system: orthorhombic. The formation energy comes out at -2.79 eV/f.u.

***

# 14
VASP calculation (GGA-PBE) on a relaxed RbTlCuSe2 crystal.

The space group is P2/c (No. 13) and the conventional cell measures 8.1933, 5.1716 and 8.1022 Å, with angles of 90.00, 109.79 and 90.00 degrees. The asymmetric unit holds Rb at (0.0000, 0.2392, 0.2500), Tl at (0.5000, 0.3954, 0.7500), Cu at (0.5000, 0.0000, 0.0000) and Se at (0.2718, 0.2586, 0.9943).

As for the energy relative to the elements, uncorrected: -46.64 kJ/mol of atoms. As for the crystal system: monoclinic.

***

# 15
VASP calculation (GGA-PBE) on a relaxed Zr5Nb2 crystal.

The space group is I4/mmm (No. 139) and the conventional cell measures 3.3378, 3.3378 and 27.3414 Å, with angles of 90.00, 90.00 and 90.00 degrees. The asymmetric unit holds Zr at (0.0000, 0.0000, 0.0000), Zr at (0.0000, 0.0000, 0.1549), Zr at (0.0000, 0.0000, 0.4228) and Nb at (0.0000, 0.0000, 0.2772).

As for the crystal system: tetragonal. The formation energy comes out at 0.25 eV/f.u.

***

# 16
VASP calculation (GGA-PBE) on a relaxed CsTl2BiAu crystal.

The space group is P4mm (No. 99) and the conventional cell measures 5.3864, 5.3864 and 7.8915 Å, with angles of 90.00, 90.00 and 90.00 degrees. The asymmetric unit holds Cs at (0.0000, 0.0000, 0.0000), Tl at (0.0000, 0.5000, 0.4332), Bi at (0.5000, 0.5000, 0.2026) and Au at (0.0000, 0.0000, 0.5547).

As for the crystal system: tetragonal. The formation energy comes out at -0.58 eV/f.u.

***

# 17
VASP calculation (GGA-PBE) on a relaxed HfFeSn2 crystal.

The space group is Fm-3m (No. 225) and the conventional cell measures 6.7785, 6.7785 and 6.7785 Å, with angles of 90.00, 90.00 and 90.00 degrees. The asymmetric unit holds Hf at (0.0000, 0.0000, 0.0000), Fe at (0.0000, 0.0000, 0.5000) and Sn at (0.2500, 0.2500, 0.2500).

As for the crystal system: cubic. The formation energy comes out at 0.87 eV/f.u.